A relaxed structure of KTl5Hg2, computed with PBE.

Excess energy over the best structure of this formula in the dataset, eV/atom: 0.000
Formation energy, eV per atom: -0.063

Lattice parameters (Å, degrees): 13.743 10.267 3.628 90.00 104.20 90.00
Space group C2/m (No. 12)
One atom of each set of equivalent atoms:
K (0.000, 0.000, 0.000) x2
Tl (0.000, 0.500, 0.000) x2
Tl (0.136, 0.276, 0.634) x8
Hg (0.240, 0.000, 0.738) x4

A relaxed structure of AcTb2Tl3, computed with PBE.

Formation energy, eV per atom: -0.349

Lattice parameters (Å, degrees): 3.874 3.874 11.980 90.00 90.00 90.00
Space group P4/mmm (No. 123)
One atom of each set of equivalent atoms:
Ac (0.000, 0.000, 0.000) x1
Tb (0.000, 0.000, 0.344) x2
Tl (0.500, 0.500, 0.191) x2
Tl (0.500, 0.500, 0.500) x1

A relaxed structure of Y5Ho4Tl4, computed with PBE.

Formation energy, eV per atom: -0.276

Lattice parameters (Å, degrees): 12.271 12.271 5.059 90.00 90.00 90.00
Space group I4/m (No. 87)
One atom of each set of equivalent atoms:
Y (0.000, 0.000, 0.000) x2
Y (0.102, 0.812, 0.500) x8
Ho (0.096, 0.603, 0.000) x8
Tl (0.102, 0.235, 0.000) x8

E values (in eV/atom) by entry order: -1.7544; -3.7608; -4.8983.